The following is a PBE-GGA calculation of a relaxed Ir2OsRu4Rh crystal, from Alexandria via LeMat-Bulk.

It has space group P2/m (No. 10), with a = 6.194 Å, b = 3.535 Å, c = 6.350 Å, α = 90.00°, β = 108.74° and γ = 90.00°. The asymmetric unit holds Ir at (0.000, 0.000, 0.000), Ir at (0.000, 0.500, 0.500), Os at (0.500, 0.000, 0.500), Ru at (0.247, 0.000, 0.743), Ru at (0.255, 0.500, 0.259) and Rh at (0.500, 0.500, 0.000).

The total DFT energy (no corrections) is -8.079 eV per atom. Its crystal system is monoclinic. The total moment is 0.00 Bohr magnetons per cell.